(1)
Compound: SeS5Cl
Source: Alexandria via LeMat-Bulk
Functional: PBE
Structure: optimized geometry

Unit cell a=5.770 b=7.062 c=7.091 alpha=108.34 beta=111.45 gamma=93.83
Atoms (fractional coordinates):
Se 0.000 0.000 0.000
S 0.014 0.507 0.249
S 0.218 0.515 0.616
S 0.246 0.394 0.134
S 0.488 0.381 0.598
S 0.743 0.097 0.125
Cl 0.835 0.937 0.635

Output
Uncorrected formation energy   0.51 eV per formula unit
Symmetry   P1 (1)

=====

(2)
Compound: Sr2FeCo
Source: Alexandria via LeMat-Bulk
Functional: PBE
Structure: optimized geometry

Unit cell a=5.254 b=5.254 c=5.254 alpha=60.00 beta=60.00 gamma=60.00
Atoms (fractional coordinates):
Sr 0.250 0.250 0.250
Sr 0.750 0.750 0.750
Fe 0.000 0.000 0.000
Co 0.500 0.500 0.500

Output
Energy of formation from the pure elements   0.772 eV/atom
Excess energy over the best structure of this formula in the dataset   574 meV per atom
DOS at the Fermi energy   13.53 states/eV/f.u.
Symmetry   Fm-3m (225)

=====

(3)
Compound: Cr3RhW
Source: Alexandria via LeMat-Bulk
Functional: PBE
Structure: optimized geometry

Unit cell a=4.421 b=4.421 c=4.421 alpha=90.00 beta=90.00 gamma=90.00
Atoms (fractional coordinates):
Cr 0.000 0.000 0.500
Cr 0.000 0.500 0.000
Cr 0.500 0.000 0.000
Rh 0.500 0.500 0.500
W 0.000 0.000 0.000

Output
Energy of formation from the pure elements   1.853 eV/atom
Excess energy over the best structure of this formula in the dataset   126 meV per atom
DOS at the Fermi energy   11.33 states/eV/f.u.
Symmetry   Pm-3m (221)

=====

(4)
Compound: AcNdCrN4
Source: Alexandria via LeMat-Bulk
Functional: PBE
Structure: optimized geometry

Unit cell a=5.738 b=5.634 c=7.259 alpha=90.00 beta=108.75 gamma=90.00
Atoms (fractional coordinates):
Ac 0.212 0.250 0.430
Ac 0.788 0.750 0.570
Nd 0.290 0.250 0.965
Nd 0.710 0.750 0.035
Cr 0.269 0.750 0.194
Cr 0.731 0.250 0.806
N 0.070 0.750 0.335
N 0.102 0.750 0.949
N 0.467 0.507 0.252
N 0.467 0.993 0.252
N 0.533 0.007 0.748
N 0.533 0.493 0.748
N 0.898 0.250 0.051
N 0.930 0.250 0.665

Output
Uncorrected formation energy   -7.54 eV per formula unit
DOS at the Fermi energy   0.00 states/eV/f.u.
Symmetry   P2_1/m (11)

=====

(5)
Compound: CoAg2Cl
Source: Alexandria via LeMat-Bulk
Functional: PBE
Structure: optimized geometry

Unit cell a=4.667 b=4.667 c=4.667 alpha=60.00 beta=60.00 gamma=60.00
Atoms (fractional coordinates):
Co 0.000 0.000 0.000
Ag 0.250 0.250 0.250
Ag 0.750 0.750 0.750
Cl 0.500 0.500 0.500

Output
Excess energy over the best structure of this formula in the dataset   465 meV per atom
Uncorrected formation energy   2.38 eV per formula unit
DOS at the Fermi energy   1.10 states/eV/f.u.
Symmetry   Fm-3m (225)

=====

(6)
Compound: PmAlGe2
Source: Alexandria via LeMat-Bulk
Functional: PBE
Structure: optimized geometry

Unit cell a=3.949 b=8.231 c=5.275 alpha=90.00 beta=90.00 gamma=90.00
Atoms (fractional coordinates):
Pm 0.250 0.250 0.133
Pm 0.750 0.750 0.867
Al 0.250 0.750 0.339
Al 0.750 0.250 0.661
Ge 0.250 0.016 0.670
Ge 0.250 0.484 0.670
Ge 0.750 0.516 0.330
Ge 0.750 0.984 0.330

Output
Energy of formation from the pure elements   -0.427 eV/atom
Excess energy over the best structure of this formula in the dataset   0 meV per atom
DOS at the Fermi energy   1.04 states/eV/f.u.
Symmetry   Pmmn (59)

=====

(7)
Compound: LiBeAs3
Source: Alexandria via LeMat-Bulk
Functional: PBE
Structure: optimized geometry

Unit cell a=4.568 b=4.568 c=4.568 alpha=90.00 beta=90.00 gamma=90.00
Atoms (fractional coordinates):
Li 0.000 0.000 0.000
Be 0.500 0.500 0.500
As 0.000 0.500 0.500
As 0.500 0.000 0.500
As 0.500 0.500 0.000

Output
Energy of formation from the pure elements   0.263 eV/atom
Excess energy over the best structure of this formula in the dataset   0 meV per atom
DOS at the Fermi energy   2.36 states/eV/f.u.
Symmetry   Pm-3m (221)

=====

(8)
Compound: Pm2Pr6HoMg
Source: Alexandria via LeMat-Bulk
Functional: PBE
Structure: optimized geometry

Unit cell a=8.821 b=8.821 c=9.957 alpha=95.58 beta=95.58 gamma=115.40
Atoms (fractional coordinates):
Pm 0.197 0.288 0.054
Pm 0.288 0.197 0.554
Pm 0.712 0.803 0.446
Pm 0.803 0.712 0.946
Pr 0.001 0.573 0.193
Pr 0.121 0.751 0.550
Pr 0.249 0.879 0.950
Pr 0.301 0.493 0.387
Pr 0.427 0.999 0.307
Pr 0.493 0.301 0.887
Pr 0.507 0.699 0.113
Pr 0.573 0.001 0.693
Pr 0.699 0.507 0.613
Pr 0.751 0.121 0.050
Pr 0.879 0.249 0.450
Pr 0.999 0.427 0.807
Ho 0.015 0.985 0.250
Ho 0.985 0.015 0.750
Mg 0.404 0.596 0.750
Mg 0.596 0.404 0.250

Output
Energy of formation from the pure elements   0.107 eV/atom
DOS at the Fermi energy   14.77 states/eV/f.u.
Symmetry   C2/c (15)